Compound: CsAc4Ir3O12
Source: Alexandria via LeMat-Bulk
Functional: PBE
Structure: optimized geometry

Values from the calculation:
Density of states at the Fermi level ... 0.30 states/eV per atom
Energy ... -7.136 eV/atom
E_form (uncorrected) ... -1.9677 eV per atom
Total moment ... 8.036 Bohr magnetons per cell
SG ... No. 204

abc: 7.6953 7.6953 7.6953
angles: 109.47 109.47 109.47
Positions (direct):
Cs1 0.0000 0.0000 0.0000
Ac1 0.0000 0.0000 0.5000
Ac2 0.0000 0.5000 0.0000
Ac3 0.5000 0.0000 0.0000
Ac4 0.5000 0.5000 0.5000
Ir1 0.0000 0.5000 0.5000
Ir2 0.5000 0.0000 0.5000
Ir3 0.5000 0.5000 0.0000
O1 0.1488 0.4866 0.3378
O2 0.1488 0.8110 0.6622
O3 0.1890 0.3378 0.8512
O4 0.3378 0.1488 0.4866
O5 0.3378 0.8512 0.1890
O6 0.4866 0.3378 0.1488
O7 0.5134 0.6622 0.8512
O8 0.6622 0.1488 0.8110
O9 0.6622 0.8512 0.5134
O10 0.8110 0.6622 0.1488
O11 0.8512 0.1890 0.3378
O12 0.8512 0.5134 0.6622

***

Compound: CsAcIrO6
Source: Alexandria via LeMat-Bulk
Functional: PBE
Structure: optimized geometry

Values from the calculation:
Density of states at the Fermi level ... 0.57 states/eV per atom
Energy ... -6.294 eV/atom
E_form (uncorrected) ... -1.4525 eV per atom
Total moment ... 0.828 Bohr magnetons per cell
SG ... No. 149

abc: 5.9759 5.9759 6.4271
angles: 90.00 90.00 120.00
Positions (direct):
Cs1 0.0000 0.0000 0.0000
Ac1 0.3333 0.6667 0.5000
Ir1 0.6667 0.3333 0.5000
O1 0.4125 0.0660 0.6692
O2 0.4125 0.3466 0.3308
O3 0.6534 0.0660 0.3308
O4 0.6534 0.5875 0.6692
O5 0.9340 0.3466 0.6692
O6 0.9340 0.5875 0.3308

***

Compound: Cs2AcIrO4
Source: Alexandria via LeMat-Bulk
Functional: PBE
Structure: optimized geometry

Values from the calculation:
Density of states at the Fermi level ... 0.66 states/eV per atom
Energy ... -5.857 eV/atom
E_form (uncorrected) ... -1.5430 eV per atom
Total moment ... 4.001 Bohr magnetons per cell
SG ... No. 82

abc: 6.7087 6.7087 7.8352
angles: 90.00 90.00 90.00
Positions (direct):
Cs1 0.0000 0.0000 0.0000
Cs2 0.0000 0.5000 0.2500
Cs3 0.5000 0.0000 0.7500
Cs4 0.5000 0.5000 0.5000
Ac1 0.0000 0.5000 0.7500
Ac2 0.5000 0.0000 0.2500
Ir1 0.0000 0.0000 0.5000
Ir2 0.5000 0.5000 0.0000
O1 0.1300 0.7387 0.5471
O2 0.2387 0.3700 0.9529
O3 0.2613 0.1300 0.4529
O4 0.3700 0.7613 0.0471
O5 0.6300 0.2387 0.0471
O6 0.7387 0.8700 0.4529
O7 0.7613 0.6300 0.9529
O8 0.8700 0.2613 0.5471

***

Compound: CsAcIr2O8
Source: Alexandria via LeMat-Bulk
Functional: PBE
Structure: optimized geometry

Values from the calculation:
Density of states at the Fermi level ... 0.76 states/eV per atom
Energy ... -6.381 eV/atom
E_form (uncorrected) ... -1.1852 eV per atom
Total moment ... 2.103 Bohr magnetons per cell
SG ... No. 164

abc: 6.1901 6.1901 8.7758
angles: 90.00 90.00 120.00
Positions (direct):
Cs1 0.0000 0.0000 0.0000
Ac1 0.0000 0.0000 0.5000
Ir1 0.3333 0.6667 0.7632
Ir2 0.6667 0.3333 0.2368
O1 0.1758 0.3516 0.6794
O2 0.1758 0.8242 0.6794
O3 0.3333 0.6667 0.9660
O4 0.3516 0.1758 0.3206
O5 0.6484 0.8242 0.6794
O6 0.6667 0.3333 0.0340
O7 0.8242 0.1758 0.3206
O8 0.8242 0.6484 0.3206

***

Compound: Cs4Ac3IrO8
Source: Alexandria via LeMat-Bulk
Functional: PBE
Structure: optimized geometry

Values from the calculation:
Energy ... -5.933 eV/atom
E_form (uncorrected) ... -1.9166 eV per atom
Total moment ... 0.000 Bohr magnetons per cell
SG ... No. 166

abc: 8.1586 8.1586 8.1586
angles: 54.75 54.75 54.75
Positions (direct):
Cs1 0.0000 0.0000 0.0000
Cs2 0.0000 0.5000 0.5000
Cs3 0.5000 0.0000 0.5000
Cs4 0.5000 0.5000 0.0000
Ac1 0.0000 0.0000 0.5000
Ac2 0.0000 0.5000 0.0000
Ac3 0.5000 0.0000 0.0000
Ir1 0.5000 0.5000 0.5000
O1 0.2259 0.2259 0.2259
O2 0.2533 0.7077 0.7077
O3 0.2923 0.2923 0.7467
O4 0.2923 0.7467 0.2923
O5 0.7077 0.2533 0.7077
O6 0.7077 0.7077 0.2533
O7 0.7467 0.2923 0.2923
O8 0.7741 0.7741 0.7741

***

Compound: Cs3Ac3LaO8
Source: Alexandria via LeMat-Bulk
Functional: PBE
Structure: optimized geometry

Values from the calculation:
Density of states at the Fermi level ... 1.16 states/eV per atom
Energy ... -6.496 eV/atom
E_form (uncorrected) ... -2.5305 eV per atom
Total moment ... 1.098 Bohr magnetons per cell
SG ... No. 166

abc: 8.3417 8.3417 8.3417
angles: 55.17 55.17 55.17
Positions (direct):
Cs1 0.0000 0.5000 0.5000
Cs2 0.5000 0.0000 0.5000
Cs3 0.5000 0.5000 0.0000
Ac1 0.0000 0.0000 0.5000
Ac2 0.0000 0.5000 0.0000
Ac3 0.5000 0.0000 0.0000
La1 0.5000 0.5000 0.5000
O1 0.2247 0.2247 0.2247
O2 0.2313 0.7157 0.7157
O3 0.2843 0.2843 0.7687
O4 0.2843 0.7687 0.2843
O5 0.7157 0.2313 0.7157
O6 0.7157 0.7157 0.2313
O7 0.7687 0.2843 0.2843
O8 0.7753 0.7753 0.7753

***

Compound: Cs3Ac2LaO6
Source: Alexandria via LeMat-Bulk
Functional: PBE
Structure: optimized geometry

Values from the calculation:
Density of states at the Fermi level ... 0.00 states/eV per atom
Energy ... -6.311 eV/atom
E_form (uncorrected) ... -2.5234 eV per atom
Total moment ... 0.000 Bohr magnetons per cell
SG ... No. 12

abc: 6.7093 6.7093 7.3357
angles: 98.76 98.76 120.01
Positions (direct):
Cs1 0.0000 0.0000 0.0000
Cs2 0.3348 0.6652 0.0000
Cs3 0.6652 0.3348 0.0000
Ac1 0.1667 0.8333 0.5000
Ac2 0.8333 0.1667 0.5000
La1 0.5000 0.5000 0.5000
O1 0.1168 0.4425 0.3277
O2 0.2318 0.2318 0.6728
O3 0.4425 0.1168 0.3277
O4 0.5575 0.8832 0.6723
O5 0.7682 0.7682 0.3272
O6 0.8832 0.5575 0.6723

***

Compound: Cs4Ac3LaO8
Source: Alexandria via LeMat-Bulk
Functional: PBE
Structure: optimized geometry

Values from the calculation:
Density of states at the Fermi level ... 0.00 states/eV per atom
Energy ... -6.287 eV/atom
E_form (uncorrected) ... -2.5160 eV per atom
Total moment ... 0.000 Bohr magnetons per cell
SG ... No. 166

abc: 8.3100 8.3100 8.3100
angles: 55.75 55.75 55.75
Positions (direct):
Cs1 0.0000 0.0000 0.0000
Cs2 0.0000 0.5000 0.5000
Cs3 0.5000 0.0000 0.5000
Cs4 0.5000 0.5000 0.0000
Ac1 0.0000 0.0000 0.5000
Ac2 0.0000 0.5000 0.0000
Ac3 0.5000 0.0000 0.0000
La1 0.5000 0.5000 0.5000
O1 0.2249 0.2249 0.2249
O2 0.2303 0.7208 0.7208
O3 0.2792 0.2792 0.7697
O4 0.2792 0.7697 0.2792
O5 0.7208 0.2303 0.7208
O6 0.7208 0.7208 0.2303
O7 0.7697 0.2792 0.2792
O8 0.7751 0.7751 0.7751